Entry from Alexandria: a geometry-optimized Ce4TlBi structure (PBE-GGA).

```
6
Lattice="-2.571 3.283 4.730 2.571 -3.283 4.730 2.571 3.283 -4.730" Properties=species:S:1:pos:R:3 pbc="T T T"
Ce 2.571 -1.652 3.055
Ce 0.000 1.631 1.675
Ce 2.571 1.652 3.055
Ce 0.000 4.934 1.675
Tl 2.571 0.000 0.000
Bi 0.000 0.000 4.730
```

calculated formation energy	-174	meV per atom
space-group type	Immm
Fermi-level density of states	2.689	states/eV per atom
crystal system	orthorhombic
energy relative to the lowest polymorph listed for this composition	40	meV/atom